# 1
First-principles (PBE) data for an optimized crystal structure of SrThPd2, as listed in the Alexandria database.

The space group is P4/mmm (No. 123) and the conventional cell measures 3.706, 3.706 and 7.573 Å, with angles of 90.00, 90.00 and 90.00 degrees. The asymmetric unit holds Sr at (0.000, 0.000, 0.000), Th at (0.000, 0.000, 0.500) and Pd at (0.500, 0.500, 0.300).

The volume comes out at 26.0 Å³ per atom. As for the formation energy: -0.687 eV/atom. The crystal system is tetragonal.


# 2
First-principles (PBE) data for an optimized crystal structure of SrThPd, as listed in the Alexandria database.

The space group is I4mm (No. 107) and the conventional cell measures 3.697, 3.697 and 13.753 Å, with angles of 90.00, 90.00 and 90.00 degrees. The asymmetric unit holds Sr at (0.000, 0.000, 0.000), Th at (0.000, 0.000, 0.267) and Pd at (0.000, 0.000, 0.664).

The volume comes out at 31.3 Å³ per atom. As for the formation energy: -0.307 eV/atom. The crystal system is tetragonal.


# 3
First-principles (PBE) data for an optimized crystal structure of SrTi2Pd2, as listed in the Alexandria database.

The space group is P4/mbm (No. 127) and the conventional cell measures 8.092, 8.092 and 3.008 Å, with angles of 90.00, 90.00 and 90.00 degrees. The asymmetric unit holds Sr at (0.000, 0.000, 0.000), Ti at (0.150, 0.350, 0.500) and Pd at (0.134, 0.634, 0.000).

The volume comes out at 19.7 Å³ per atom. As for the formation energy: -0.138 eV/atom. The crystal system is tetragonal.


# 4
First-principles (PBE) data for an optimized crystal structure of SrTiPd2, as listed in the Alexandria database.

The space group is Fm-3m (No. 225) and the conventional cell measures 6.870, 6.870 and 6.870 Å, with angles of 90.00, 90.00 and 90.00 degrees. The asymmetric unit holds Sr at (0.000, 0.000, 0.000), Ti at (0.000, 0.000, 0.500) and Pd at (0.250, 0.250, 0.250).

The volume comes out at 20.3 Å³ per atom. As for the formation energy: -0.182 eV/atom. The crystal system is cubic.